(1)
## LaRe2Mo (GGA-PBE)

Data for crystalline LaRe2Mo at its relaxed geometry.

```
LaRe2Mo
1.0
2.851 -0.003 0.000
-1.098 2.631 0.000
0.000 0.000 9.673
Re Mo La
2 1 1
Direct
0.000 0.000 0.001
0.500 0.500 0.218
0.500 0.500 0.785
0.000 0.000 0.496
```

Volume (A^3/atom): 18.13
Spin magnetization (μB/f.u.): 0.0
Distance to the lowest polymorph of the same formula (eV per atom): 0.163
Symmetry: Cmm2, No. 35
Energy of formation (eV per atom): 0.53
Total energy (eV/atom): -9.6356

=====

(2)
## LiCdGaSn (GGA-PBE)

Data for crystalline LiCdGaSn at its relaxed geometry.

```
LiCdGaSn
1.0
4.963 0.000 0.000
2.481 4.298 0.000
2.481 1.433 4.052
Ga Sn Li Cd
1 1 1 1
Direct
0.750 0.750 0.750
0.250 0.250 0.250
0.500 0.500 0.500
0.000 0.000 0.000
```

Volume (A^3/atom): 21.60
Spin magnetization (μB/f.u.): 0.0
Symmetry: F-43m, No. 216
Energy of formation (eV per atom): -0.10
Total energy (eV/atom): -2.5652

=====

- Which value of volume does entry 1 give?
  18.13 A^3/atom

=====

- total energy of number 1 (LaRe2Mo)?
  -9.6356 eV/atom

=====

Repeat the first record exactly.
## LaRe2Mo (GGA-PBE)

Data for crystalline LaRe2Mo at its relaxed geometry.

```
LaRe2Mo
1.0
2.851 -0.003 0.000
-1.098 2.631 0.000
0.000 0.000 9.673
Re Mo La
2 1 1
Direct
0.000 0.000 0.001
0.500 0.500 0.218
0.500 0.500 0.785
0.000 0.000 0.496
```

Volume (A^3/atom): 18.13
Spin magnetization (μB/f.u.): 0.0
Distance to the lowest polymorph of the same formula (eV per atom): 0.163
Symmetry: Cmm2, No. 35
Energy of formation (eV per atom): 0.53
Total energy (eV/atom): -9.6356